(1)
A plane-wave DFT calculation with GGA-PBE was carried out for a geometry-optimized Pr2TlZn2 structure.

Lattice parameters (Å, degrees): 7.3889 7.3889 4.6723 90.00 90.00 90.00
Space group P4/mbm (No. 127)
Asymmetric unit:
Pr  0.1756  0.3244  0.0000 [4 per cell]
Tl  0.0000  0.0000  0.5000 [2 per cell]
Zn  0.1222  0.6222  0.5000 [4 per cell]

Its formation energy from the elements is -1.63 eV per formula unit. Its density of states at the Fermi level is 11.9 states/eV/cell. The calculation puts the total energy at -3.220 eV/atom.

=====

(2)
A plane-wave DFT calculation with GGA-PBE was carried out for a geometry-optimized Pr6TlZn3 structure.

Lattice parameters (Å, degrees): 9.6600 5.2404 11.6810 90.00 106.00 90.00
Space group P2_1/m (No. 11)
Asymmetric unit:
Pr  0.0362  0.2500  0.4092 [2 per cell]
Pr  0.1471  0.7500  0.1856 [2 per cell]
Pr  0.2192  0.2500  0.9892 [2 per cell]
Pr  0.3205  0.7500  0.8005 [2 per cell]
Pr  0.3800  0.2500  0.3433 [2 per cell]
Pr  0.3891  0.2500  0.6202 [2 per cell]
Tl  0.4494  0.7500  0.0990 [2 per cell]
Zn  0.0294  0.7500  0.8763 [2 per cell]
Zn  0.1136  0.2500  0.7091 [2 per cell]
Zn  0.2716  0.7500  0.4758 [2 per cell]

Its formation energy from the elements is -2.21 eV per formula unit. Its density of states at the Fermi level is 17.6 states/eV/cell. The calculation puts the total energy at -3.708 eV/atom.

=====

(3)
A plane-wave DFT calculation with GGA-PBE was carried out for a geometry-optimized Pr4TlZn2 structure.

Lattice parameters (Å, degrees): 5.2924 5.2924 25.3859 90.00 90.00 120.00
Space group R-3m (No. 166, hexagonal axes)
Asymmetric unit:
Pr  0.0000  0.0000  0.1149 [6 per cell]
Pr  0.0000  0.0000  0.3677 [6 per cell]
Tl  0.0000  0.0000  0.5000 [3 per cell]
Zn  0.0000  0.0000  0.2456 [6 per cell]

Its formation energy from the elements is -1.37 eV per formula unit. Its density of states at the Fermi level is 24.2 states/eV/cell. The calculation puts the total energy at -3.629 eV/atom.

=====

(4)
A plane-wave DFT calculation with GGA-PBE was carried out for a geometry-optimized Pr4Tl2Zn structure.

Lattice parameters (Å, degrees): 17.3998 3.7916 7.6089 90.00 115.86 90.00
Space group C2/m (No. 12)
Asymmetric unit:
Pr  0.0874  0.0000  0.2355 [4 per cell]
Pr  0.1199  0.5000  0.8286 [4 per cell]
Tl  0.2435  0.0000  0.6872 [4 per cell]
Zn  0.0000  0.0000  0.5000 [2 per cell]

Its formation energy from the elements is -1.10 eV per formula unit. Its density of states at the Fermi level is 16.4 states/eV/cell. The calculation puts the total energy at -3.747 eV/atom.

=====

(5)
A plane-wave DFT calculation with GGA-PBE was carried out for a geometry-optimized Pr12Tl3Zn structure.

Lattice parameters (Å, degrees): 5.0138 5.0138 19.9372 90.00 90.00 90.00
Space group P4/mmm (No. 123)
Asymmetric unit:
Pr  0.0000  0.0000  0.0000 [1 per cell]
Pr  0.0000  0.0000  0.2453 [2 per cell]
Pr  0.0000  0.0000  0.5000 [1 per cell]
Pr  0.0000  0.5000  0.1200 [4 per cell]
Pr  0.0000  0.5000  0.3732 [4 per cell]
Tl  0.5000  0.5000  0.2471 [2 per cell]
Tl  0.5000  0.5000  0.5000 [1 per cell]
Zn  0.5000  0.5000  0.0000 [1 per cell]

Its formation energy from the elements is -2.74 eV per formula unit. Its density of states at the Fermi level is 21.3 states/eV/cell. The calculation puts the total energy at -4.279 eV/atom.

=====

(6)
A plane-wave DFT calculation with GGA-PBE was carried out for a geometry-optimized Pr5Tl2Zn structure.

Lattice parameters (Å, degrees): 7.2342 7.2342 9.1649 90.00 90.00 90.00
Space group I4/mmm (No. 139)
Asymmetric unit:
Pr  0.0000  0.0000  0.0000 [2 per cell]
Pr  0.2500  0.2500  0.2500 [8 per cell]
Tl  0.0000  0.5000  0.0000 [4 per cell]
Zn  0.0000  0.0000  0.5000 [2 per cell]

Its formation energy from the elements is -1.74 eV per formula unit. Its density of states at the Fermi level is 18.8 states/eV/cell. The calculation puts the total energy at -3.956 eV/atom.

=====

Among the records above, which one has the lowest formation energy from the elements?
Pr12Tl3Zn

=====

Which value of formation energy from the elements does entry 3 give?
-1.37 eV per formula unit

=====

What is the formula in the fourth record?
Pr4Tl2Zn